Record 1
Compound: CeNdSbO2
Source: Alexandria
Functional: PBE
Structure: optimized geometry

Values from the calculation:
Uncorrected formation energy   -2.65 eV per atom
Energy   -7.594 eV/atom
Space-group type   I4mm

a b c (Å): 3.997 3.997 7.136
angles (deg): 106.26 106.26 90.00
Last column: magnetic moment on the atom in μB.
Element x y z (fractional)
Ce 0.160 0.160 0.320  0.45
Nd 0.844 0.844 0.688  0.00
Sb 0.503 0.503 0.006  -0.01
O 0.747 0.247 0.493  -0.01
O 0.247 0.747 0.493  -0.01



Record 2
Compound: NaCaSn2
Source: Alexandria
Functional: PBE
Structure: optimized geometry

Values from the calculation:
Energy   -3.227 eV/atom
Space-group type   P4/mmm
ΔH_f (0 K)   -396 meV/atom

a b c (Å): 4.727 4.755 4.755
angles (deg): 90.00 90.00 90.00
Element x y z (fractional)
Na 0.500 0.000 0.000
Ca 0.500 0.500 0.500
Sn 0.000 0.000 0.500
Sn 0.000 0.500 0.000



Record 3
Compound: Be2CuAu
Source: Alexandria
Functional: PBE
Structure: optimized geometry

Values from the calculation:
Energy   -3.535 eV/atom
Space-group type   R-3m
ΔH_f (0 K)   171 meV/atom

a b c (Å): 7.770 7.770 7.770
angles (deg): 20.30 20.30 20.30
Element x y z (fractional)
Be 0.995 0.995 0.995
Be 0.505 0.505 0.505
Au 0.750 0.750 0.750
Cu 0.250 0.250 0.250



Mass density (g/cm3)
6.95, 4.67, 9.36